Entry 1:
A relaxed Tl4Se3S crystal. Source: the Alexandria database, functional PBE-GGA.

Cell lengths 6.906, 9.678, 8.627 Å; angles 90.00, 90.00, 90.00 degrees
Sites, in units of the cell vectors:
S 0.010 0.115 0.000
S 0.510 0.885 0.500
Tl 0.581 0.663 0.731
Tl 0.130 0.871 0.500
Tl 0.630 0.129 0.000
Tl 0.081 0.337 0.231
Tl 0.581 0.663 0.269
Tl 0.121 0.863 0.000
Tl 0.621 0.137 0.500
Tl 0.081 0.337 0.769
Se 0.518 0.864 0.000
Se 0.038 0.710 0.746
Se 0.018 0.136 0.500
Se 0.538 0.290 0.754
Se 0.038 0.710 0.254
Se 0.538 0.290 0.246

Values from the calculation:
Space-group type: No. 31
Formation energy from raw total energies in eV per atom: -0.249
Uncorrected energy in eV/atom: -3.2552

Entry 2:
A relaxed Tl8Se2S3 crystal. Source: the Alexandria database, functional PBE-GGA.

Cell lengths 8.187, 8.002, 7.574 Å; angles 121.89, 91.21, 90.00 degrees
Sites, in units of the cell vectors:
Tl 0.660 0.620 0.739
Tl 0.340 0.380 0.261
Tl 0.187 0.881 0.762
Tl 0.813 0.119 0.238
Tl 0.660 0.119 0.739
Tl 0.959 0.650 0.300
Tl 0.340 0.881 0.261
Tl 0.041 0.350 0.700
Se 0.614 0.685 0.371
Se 0.386 0.315 0.629
S 0.000 0.756 0.000
S 0.500 0.000 0.000
S 0.000 0.244 0.000

Values from the calculation:
Space-group type: No. 12
Density of states at the Fermi level in states/eV/f.u.: 6.32
Formation energy from raw total energies in eV per atom: -0.262
Uncorrected energy in eV/atom: -3.2064

Entry 3:
A relaxed Tl8Se3S crystal. Source: the Alexandria database, functional PBE-GGA.

Cell lengths 8.690, 8.689, 8.083 Å; angles 122.59, 90.00, 120.01 degrees
Sites, in units of the cell vectors:
Tl 0.233 0.982 0.731
Tl 0.749 0.497 0.731
Tl 0.242 0.484 0.727
Tl 0.767 0.018 0.269
Tl 0.758 0.516 0.273
Tl 0.251 0.503 0.269
Tl 0.749 0.982 0.731
Tl 0.251 0.018 0.269
Se 0.500 0.000 0.000
Se 0.500 0.500 0.000
Se 0.000 0.500 0.000
S 0.000 0.000 0.000

Values from the calculation:
Space-group type: No. 166
Density of states at the Fermi level in states/eV/f.u.: 0.82
Formation energy from raw total energies in eV per atom: -0.360
Uncorrected energy in eV/atom: -3.1529

Entry 4:
A relaxed Tl5Se2S2 crystal. Source: the Alexandria database, functional PBE-GGA.

Cell lengths 7.860, 8.757, 8.757 Å; angles 122.61, 90.00, 90.00 degrees
Sites, in units of the cell vectors:
Tl 0.500 0.500 0.500
Tl 0.136 0.207 0.476
Tl 0.864 0.524 0.793
Tl 0.000 0.000 0.000
Tl 0.136 0.476 0.207
Tl 0.864 0.793 0.524
Tl 0.364 0.707 0.976
Tl 0.636 0.024 0.293
Tl 0.636 0.293 0.024
Tl 0.364 0.976 0.707
Se 0.000 0.818 0.182
Se 0.000 0.182 0.818
Se 0.500 0.318 0.682
Se 0.500 0.682 0.318
S 0.333 0.178 0.178
S 0.833 0.322 0.322
S 0.167 0.678 0.678
S 0.667 0.822 0.822

Values from the calculation:
Space-group type: No. 64
Density of states at the Fermi level in states/eV/f.u.: 5.03
Formation energy from raw total energies in eV per atom: -0.218
Uncorrected energy in eV/atom: -3.2239

Entry 5:
A relaxed TlSe2S2 crystal. Source: the Alexandria database, functional PBE-GGA.

Cell lengths 8.852, 8.852, 3.899 Å; angles 90.00, 90.00, 90.00 degrees
Sites, in units of the cell vectors:
Tl 0.500 0.500 0.000
Tl 0.000 0.000 0.000
Se 0.774 0.274 0.500
Se 0.274 0.226 0.500
Se 0.226 0.726 0.500
Se 0.726 0.774 0.500
S 0.674 0.174 0.000
S 0.326 0.826 0.000
S 0.174 0.326 0.000
S 0.826 0.674 0.000

Values from the calculation:
Space-group type: No. 127
Density of states at the Fermi level in states/eV/f.u.: 3.08
Formation energy from raw total energies in eV per atom: 0.076
Distance to the lowest polymorph of the same formula in eV/f.u.: 0.284
Uncorrected energy in eV/atom: -3.4421

Entry 6:
A relaxed Tl8Se6S crystal. Source: the Alexandria database, functional PBE-GGA.

Cell lengths 8.133, 8.133, 8.133 Å; angles 104.49, 104.49, 104.49 degrees
Sites, in units of the cell vectors:
Se 0.897 0.701 0.480
Se 0.480 0.897 0.701
Se 0.701 0.480 0.897
Se 0.299 0.520 0.103
Se 0.520 0.103 0.299
Se 0.103 0.299 0.520
Tl 0.726 0.726 0.726
Tl 0.186 0.689 0.801
Tl 0.689 0.801 0.186
Tl 0.274 0.274 0.274
Tl 0.814 0.311 0.199
Tl 0.199 0.814 0.311
Tl 0.311 0.199 0.814
Tl 0.801 0.186 0.689
S 0.000 0.000 0.000

Values from the calculation:
Space-group type: No. 148
Density of states at the Fermi level in states/eV/f.u.: 10.28
Formation energy from raw total energies in eV per atom: -0.209
Distance to the lowest polymorph of the same formula in eV/f.u.: 0.765
Uncorrected energy in eV/atom: -3.1398

Entry 7:
A relaxed Tl3Se4S2 crystal. Source: the Alexandria database, functional PBE-GGA.

Cell lengths 6.971, 9.178, 9.178 Å; angles 89.57, 95.03, 95.03 degrees
Sites, in units of the cell vectors:
S 0.315 0.905 0.568
S 0.185 0.432 0.095
S 0.685 0.095 0.432
S 0.815 0.568 0.905
Tl 0.750 0.624 0.376
Tl 0.328 0.755 0.954
Tl 0.672 0.245 0.046
Tl 0.828 0.954 0.755
Tl 0.250 0.376 0.624
Tl 0.172 0.046 0.245
Se 0.132 0.242 0.941
Se 0.632 0.941 0.242
Se 0.368 0.059 0.758
Se 0.596 0.636 0.731
Se 0.404 0.364 0.269
Se 0.096 0.731 0.636
Se 0.904 0.269 0.364
Se 0.868 0.758 0.059

Values from the calculation:
Space-group type: No. 15
Density of states at the Fermi level in states/eV/f.u.: 3.31
Formation energy from raw total energies in eV per atom: -0.128
Uncorrected energy in eV/atom: -3.3830

Entry 8:
A relaxed Tl5SeS crystal. Source: the Alexandria database, functional PBE-GGA.

Cell lengths 4.044, 8.045, 13.544 Å; angles 92.84, 90.00, 90.00 degrees
Sites, in units of the cell vectors:
Tl 0.250 0.375 0.126
Tl 0.250 0.042 0.304
Tl 0.750 0.178 0.928
Tl 0.750 0.625 0.874
Tl 0.250 0.739 0.498
Tl 0.750 0.261 0.502
Tl 0.750 0.656 0.276
Tl 0.750 0.958 0.696
Tl 0.250 0.344 0.724
Tl 0.250 0.822 0.072
S 0.750 0.085 0.141
S 0.250 0.915 0.859
Se 0.250 0.420 0.358
Se 0.750 0.580 0.642

Values from the calculation:
Space-group type: No. 11
Density of states at the Fermi level in states/eV/f.u.: 1.89
Formation energy from raw total energies in eV per atom: -0.250
Uncorrected energy in eV/atom: -3.0273

Entry 9:
A relaxed Tl2Se2S3 crystal. Source: the Alexandria database, functional PBE-GGA.

Cell lengths 4.399, 6.369, 7.281 Å; angles 82.66, 107.58, 90.00 degrees
Sites, in units of the cell vectors:
S 0.303 0.744 0.605
S 0.000 0.500 0.000
S 0.697 0.256 0.395
Se 0.140 0.201 0.279
Se 0.860 0.799 0.721
Tl 0.395 0.277 0.791
Tl 0.605 0.723 0.209

Values from the calculation:
Space-group type: No. 12
Density of states at the Fermi level in states/eV/f.u.: 1.91
Formation energy from raw total energies in eV per atom: -0.049
Uncorrected energy in eV/atom: -3.4897

Entry 10:
A relaxed TlSeS crystal. Source: the Alexandria database, functional PBE-GGA.

Cell lengths 3.740, 3.740, 6.326 Å; angles 107.19, 107.19, 90.00 degrees
Sites, in units of the cell vectors:
Tl 0.993 0.993 0.985
Se 0.271 0.271 0.541
S 0.737 0.737 0.474

Values from the calculation:
Space-group type: No. 107
Density of states at the Fermi level in states/eV/f.u.: 0.61
Formation energy from raw total energies in eV per atom: 0.057
Distance to the lowest polymorph of the same formula in eV/f.u.: 0.640
Uncorrected energy in eV/atom: -3.2694

Entry 11:
A relaxed TlSeS2 crystal. Source: the Alexandria database, functional PBE-GGA.

Cell lengths 4.890, 4.890, 4.890 Å; angles 60.00, 60.00, 60.00 degrees
Sites, in units of the cell vectors:
Tl 0.500 0.500 0.500
S 0.750 0.750 0.750
S 0.250 0.250 0.250
Se 0.000 0.000 0.000

Values from the calculation:
Space-group type: No. 225
Density of states at the Fermi level in states/eV/f.u.: 2.58
Formation energy from raw total energies in eV per atom: 0.533
Distance to the lowest polymorph of the same formula in eV/f.u.: 2.506
Uncorrected energy in eV/atom: -2.9932

Entry 12:
A relaxed TlSe2S4 crystal. Source: the Alexandria database, functional PBE-GGA.

Cell lengths 5.803, 5.097, 13.161 Å; angles 124.24, 99.89, 45.18 degrees
Sites, in units of the cell vectors:
Se 0.887 0.191 0.774
Se 0.113 0.809 0.226
Tl 0.000 0.000 0.000
S 0.539 0.136 0.191
S 0.461 0.864 0.809
S 0.838 0.288 0.512
S 0.162 0.712 0.488

Values from the calculation:
Space-group type: No. 2
Density of states at the Fermi level in states/eV/f.u.: 2.91
Formation energy from raw total energies in eV per atom: 0.138
Uncorrected energy in eV/atom: -3.5545

> formation energy from raw total energies of number 11 (TlSeS2)?

0.533 eV per atom

> Look up the formation energy from raw total energies of the twelfth one.

0.138 eV per atom